[1]
The following is a PBE-GGA calculation of a geometry-optimized KAgTe2 structure, from Alexandria via LeMat-Bulk.

Results
Raw formation energy = -139 kJ/mol of formula units

Cell and atoms, written as POSCAR:
```
KAgTe2
1.0
4.304 0.000 0.000
0.000 3.304 -0.156
0.000 0.394 8.622
Ag K Te
1 1 2
Direct
0.500 0.250 0.250
0.500 0.750 0.750
0.000 0.250 0.028
0.000 0.250 0.472
```



[2]
The following is a PBE-GGA calculation of a geometry-optimized Pa2VCd structure, from Alexandria via LeMat-Bulk.

Results
ΔE_f = 1.6 eV/f.u.

Cell and atoms, written as POSCAR:
```
Pa2VCd
1.0
3.031 0.000 0.000
1.515 2.625 0.000
1.515 0.875 11.496
V Pa Cd
1 2 1
Direct
0.500 0.500 0.500
0.096 0.096 0.712
0.904 0.904 0.288
0.000 0.000 0.000
```



[3]
The following is a PBE-GGA calculation of a geometry-optimized IrSe3O9 structure, from Alexandria via LeMat-Bulk.

Results
Raw formation energy = -711 kJ/mol of formula units

Cell and atoms, written as POSCAR:
```
IrSe3O9
1.0
6.006 0.000 2.527
2.369 8.784 2.771
0.130 1.273 8.092
Ir Se O
2 6 18
Direct
0.994 0.514 0.988
0.503 0.014 0.488
0.714 0.623 0.670
0.994 0.123 0.170
0.047 0.889 0.832
0.231 0.389 0.332
0.580 0.180 0.770
0.470 0.680 0.270
0.424 0.225 0.278
0.073 0.725 0.778
0.213 0.414 0.836
0.537 0.914 0.336
0.168 0.015 0.603
0.214 0.515 0.103
0.769 0.646 0.144
0.440 0.146 0.644
0.827 0.027 0.403
0.742 0.527 0.903
0.564 0.817 0.698
0.921 0.317 0.198
0.445 0.471 0.323
0.761 0.971 0.823
0.746 0.305 0.616
0.334 0.805 0.116
0.883 0.133 0.015
0.969 0.633 0.515
```



[4]
The following is a PBE-GGA calculation of a geometry-optimized Ce8PuAu2 structure, from Alexandria via LeMat-Bulk.

Results
ΔE_f = -1.9 eV/f.u.
Energy above the most stable polymorph in this dataset = 82 meV per atom

Cell and atoms, written as POSCAR:
```
Ce8PuAu2
1.0
6.211 -0.479 -0.363
-0.739 7.525 1.055
-0.739 3.042 6.963
Ce Pu Au
8 1 2
Direct
0.268 0.318 0.850
0.732 0.150 0.682
0.160 0.846 0.846
0.840 0.154 0.154
0.268 0.850 0.318
0.732 0.682 0.150
0.796 0.567 0.567
0.204 0.433 0.433
0.000 0.000 0.000
0.546 0.731 0.731
0.454 0.269 0.269
```



[5]
The following is a PBE-GGA calculation of a geometry-optimized CaSnPd2 structure, from Alexandria via LeMat-Bulk.

Results
ΔE_f = -2.3 eV/f.u.

Cell and atoms, written as POSCAR:
```
CaSnPd2
1.0
-3.411 0.787 -0.232
-0.737 -3.375 -0.613
-0.677 -1.027 6.473
Ca Sn Pd
1 1 2
Direct
0.500 0.500 0.500
0.500 0.500 0.000
0.000 0.000 0.779
0.000 0.000 0.221
```



[6]
The following is a PBE-GGA calculation of a geometry-optimized NpVRuRh structure, from Alexandria via LeMat-Bulk.

Results
ΔE_f = -0.1 eV/f.u.

Cell and atoms, written as POSCAR:
```
NpVRuRh
1.0
4.538 0.000 0.000
2.269 3.930 0.000
2.269 1.310 3.705
Np Ru Rh V
1 1 1 1
Direct
0.250 0.250 0.250
0.000 0.000 0.000
0.500 0.500 0.500
0.750 0.750 0.750
```



[7]
The following is a PBE-GGA calculation of a geometry-optimized SmTh3C8 structure, from Alexandria via LeMat-Bulk.

Results
ΔE_f = 1.2 eV/f.u.

Cell and atoms, written as POSCAR:
```
SmTh3C8
1.0
-1.453 5.282 3.330
-5.048 -3.702 -1.435
-2.869 -2.649 5.084
Sm Th C
1 3 8
Direct
0.001 0.000 0.999
0.747 0.500 0.753
0.247 0.500 0.253
0.500 0.000 0.500
0.092 0.000 0.584
0.584 0.677 0.416
0.907 0.323 0.093
0.416 0.000 0.908
0.881 0.000 0.615
0.622 0.504 0.378
0.118 0.496 0.882
0.385 0.000 0.119
```



[8]
The following is a PBE-GGA calculation of a geometry-optimized Sm4In3Ga structure, from Alexandria via LeMat-Bulk.

Results
ΔE_f = -3.7 eV/f.u.
Energy above the most stable polymorph in this dataset = 40 meV per atom

Cell and atoms, written as POSCAR:
```
Sm4In3Ga
1.0
-1.459 -0.110 -4.375
-3.946 -1.238 1.347
-3.215 11.112 0.792
Sm In Ga
4 3 1
Direct
0.500 0.500 0.352
0.000 0.500 0.867
0.000 0.000 0.135
0.500 0.000 0.640
0.000 0.500 0.584
0.000 0.000 0.415
0.500 0.000 0.925
0.500 0.500 0.082
```



no.,VASP energy (eV/atom)
1,-2.92
2,-6.87
3,-5.49
4,-6.39
5,-4.67
6,-9.70
7,-8.30
8,-4.23